--- w ---
Sc2CrCl PBE optimized geometry; DOS at the Fermi energy = 1.041 states/eV/atom
1.0
1.776 -2.679 0.000
1.776 2.679 0.000
0.000 0.000 9.186
Sc Cr Cl
2 1 1
direct
0.000 0.000 0.000 Sc
0.500 0.500 0.274 Sc
0.000 0.000 0.512 Cr
0.500 0.500 0.796 Cl

--- x ---
Sc2CrCl PBE optimized geometry; DOS at the Fermi energy = 0.905 states/eV/atom
1.0
-1.571 1.640 7.740
1.571 -1.640 7.740
1.571 1.640 -7.740
Sc Cr Cl
2 1 1
direct
0.000 0.000 0.000 Sc
0.764 0.264 0.500 Sc
0.399 0.399 0.000 Cr
0.153 0.653 0.500 Cl

--- y ---
Sc2CrCl PBE optimized geometry; DOS at the Fermi energy = 0.916 states/eV/atom
1.0
2.248 -2.254 0.000
2.248 2.254 0.000
0.000 0.000 7.614
Sc Cr Cl
2 1 1
direct
0.000 0.000 0.219 Sc
0.000 0.000 0.781 Sc
0.500 0.500 0.000 Cr
0.500 0.500 0.500 Cl

--- z ---
Sc2CrCl PBE optimized geometry; DOS at the Fermi energy = 0.998 states/eV/atom
1.0
-1.666 2.871 4.436
1.666 -2.871 4.436
1.666 2.871 -4.436
Sc Cr Cl
2 1 1
direct
0.226 0.226 0.000 Sc
0.774 0.774 0.000 Sc
0.500 0.000 0.500 Cr
0.000 0.500 0.500 Cl

Stability verdict: y, ahead by 113 meV per atom

--- w ---
Sc2CrCl PBE optimized geometry; DOS at the Fermi energy = 0.813 states/eV/atom
1.0
1.639 0.946 8.162
-1.639 0.946 8.162
0.000 -1.893 8.162
Sc Cr Cl
2 1 1
direct
0.249 0.249 0.249 Sc
0.751 0.751 0.751 Sc
0.500 0.500 0.500 Cr
0.000 0.000 0.000 Cl

--- x ---
Sc2CrCl PBE optimized geometry; DOS at the Fermi energy = 1.002 states/eV/atom
1.0
4.657 0.000 0.000
0.000 3.174 0.000
-0.009 0.000 5.243
Sc Cr Cl
2 1 1
direct
0.000 0.000 0.000 Sc
0.500 0.500 0.500 Sc
0.000 0.000 0.500 Cr
0.500 0.500 0.000 Cl

--- y ---
Sc2CrCl PBE optimized geometry; DOS at the Fermi energy = 0.967 states/eV/atom
1.0
1.643 0.949 9.320
-1.643 0.949 9.320
0.000 -1.897 9.320
Sc Cr Cl
2 1 1
direct
0.000 0.000 0.000 Sc
0.240 0.240 0.240 Sc
0.494 0.494 0.494 Cr
0.731 0.731 0.731 Cl

--- z ---
Sc2CrCl PBE optimized geometry; DOS at the Fermi energy = 1.043 states/eV/atom
1.0
0.000 3.443 3.443
3.443 0.000 3.443
3.443 3.443 0.000
Sc Cr Cl
2 1 1
direct
0.250 0.250 0.250 Sc
0.750 0.750 0.750 Sc
0.000 0.000 0.000 Cr
0.500 0.500 0.500 Cl

Stability verdict: w, ahead by 148 meV per atom

--- w ---
Sc2CrCl PBE optimized geometry; DOS at the Fermi energy = 0.809 states/eV/atom
1.0
5.051 -1.590 0.000
5.051 1.590 0.000
-0.530 0.000 4.661
Sc Cr Cl
2 1 1
direct
0.000 0.000 0.000 Sc
0.715 0.715 0.552 Sc
0.259 0.259 0.050 Cr
0.449 0.449 0.471 Cl

--- x ---
Sc2CrCl PBE optimized geometry; DOS at the Fermi energy = 1.142 states/eV/atom
1.0
1.688 0.975 8.957
-1.688 0.975 8.957
0.000 -1.949 8.957
Sc Cr Cl
2 1 1
direct
0.092 0.092 0.092 Sc
0.908 0.908 0.908 Sc
0.500 0.500 0.500 Cr
0.000 0.000 0.000 Cl

Stability verdict: w, ahead by 29 meV per atom